Pu2GaRh: relaxed, PBE.

The structure in POSCAR format:
```
Pu2GaRh
1.0
3.570 0.000 0.000
0.000 3.570 0.000
0.000 0.000 5.077
Pu Ga Rh
2 1 1
direct
0.000 0.500 0.000
0.500 0.000 0.000
0.000 0.000 0.500
0.500 0.500 0.500
```

The calculated volume is 16.2 Å³/atom. The calculation puts the energy at -9.7933 eV/atom. The value obtained for the formation energy is -33 meV/atom. As for the spin magnetization: 0.01 μB/cell. Its space-group type is No. 123.

***

DyHo3In4: relaxed, PBE.

The structure in POSCAR format:
```
DyHo3In4
1.0
-1.716 3.419 9.626
1.716 -3.419 9.626
1.716 3.419 -9.626
Dy Ho In
1 3 4
direct
0.000 0.000 0.000
0.225 0.725 0.500
0.500 0.500 0.000
0.775 0.275 0.500
0.153 0.873 0.280
0.406 0.127 0.280
0.594 0.873 0.720
0.847 0.127 0.720
```

The calculated volume is 28.2 Å³/atom. The calculation puts the energy at -3.9635 eV/atom. The calculation puts the energy above the most stable polymorph in this dataset at 0.1524 eV per atom. The value obtained for the formation energy is -302 meV/atom. As for the spin magnetization: 0.00 μB/cell. Its space-group type is No. 71.

***

KCd3Pt: relaxed, PBE.

The structure in POSCAR format:
```
KCd3Pt
1.0
3.082 0.000 0.000
0.000 3.057 6.666
0.000 -3.057 6.666
K Cd Pt
1 3 1
direct
0.000 0.000 0.000
0.000 0.018 0.510
0.000 0.510 0.018
0.500 0.604 0.604
0.500 0.400 0.400
```

The calculated volume is 25.1 Å³/atom. The calculation puts the energy at -2.0731 eV/atom. The calculation puts the energy above the most stable polymorph in this dataset at 0.1585 eV per atom. The value obtained for the formation energy is -96 meV/atom. As for the spin magnetization: 0.00 μB/cell. Its space-group type is No. 38.

***

PaGa6: relaxed, PBE.

The structure in POSCAR format:
```
PaGa6
1.0
4.583 0.000 0.000
0.000 4.583 0.000
0.000 0.000 6.640
Pa Ga
1 6
direct
0.000 0.000 0.000
0.000 0.000 0.500
0.000 0.500 0.289
0.000 0.500 0.711
0.500 0.000 0.289
0.500 0.000 0.711
0.500 0.500 0.000
```

The calculated volume is 19.9 Å³/atom. The calculation puts the energy at -4.1199 eV/atom. The calculation puts the energy above the most stable polymorph in this dataset at 0.0051 eV per atom. The value obtained for the formation energy is -169 meV/atom. As for the spin magnetization: 0.00 μB/cell. Its space-group type is No. 123.

***

TlP2Ru: relaxed, PBE.

The structure in POSCAR format:
```
TlP2Ru
1.0
4.539 0.000 0.000
0.000 4.539 0.000
0.000 0.000 3.294
Tl P Ru
1 2 1
direct
0.000 0.000 0.000
0.000 0.500 0.500
0.500 0.000 0.500
0.500 0.500 0.000
```

The calculated volume is 17.0 Å³/atom. The calculation puts the energy at -4.8329 eV/atom. The calculation puts the energy above the most stable polymorph in this dataset at 0.8287 eV per atom. The value obtained for the formation energy is 783 meV/atom. As for the spin magnetization: 0.00 μB/cell. Its space-group type is No. 123.

***

KFeBr: relaxed, PBE.

The structure in POSCAR format:
```
KFeBr
1.0
0.000 3.895 3.895
3.895 0.000 3.895
3.895 3.895 0.000
K Fe Br
1 1 1
direct
0.000 0.000 0.000
0.750 0.750 0.750
0.250 0.250 0.250
```

The calculated volume is 39.4 Å³/atom. The calculation puts the energy at -3.1536 eV/atom. The calculation puts the energy above the most stable polymorph in this dataset at 0.3753 eV per atom. As for the spin magnetization: 4.00 μB/cell. Its space-group type is No. 216.